No. 1
{"formula": "BaCa2Ag2Sn2", "functional": "GGA-PBE", "state": "relaxed", "lattice_angstrom": [[2.500, 1.443, 9.823], [-2.500, 1.443, 9.823], [0.000, -2.887, 9.823]], "species": ["Ba", "Ca", "Ca", "Ag", "Ag", "Sn", "Sn"], "frac_coords": [[0.000, 0.000, 0.000], [0.130, 0.130, 0.130], [0.870, 0.870, 0.870], [0.416, 0.416, 0.416], [0.584, 0.584, 0.584], [0.249, 0.249, 0.249], [0.751, 0.751, 0.751]], "delta_e_f_ev_per_atom": -0.52, "final_energy_ev_per_atom": -3.33, "spacegroup": "R-3m, No. 166", "total_magnetization_mub_per_atom": 0.00}

No. 2
{"formula": "Cs2HfCI6", "functional": "GGA-PBE", "state": "relaxed", "lattice_angstrom": [[-4.084, 4.084, 6.378], [4.084, -4.084, 6.378], [4.084, 4.084, -6.378]], "species": ["Cs", "Cs", "Hf", "C", "I", "I", "I", "I", "I", "I"], "frac_coords": [[0.250, 0.750, 0.500], [0.750, 0.250, 0.500], [0.000, 0.000, 0.000], [0.500, 0.500, 0.000], [0.225, 0.225, 0.000], [0.249, 0.249, 0.499], [0.249, 0.751, 0.000], [0.751, 0.249, 0.000], [0.751, 0.751, 0.501], [0.775, 0.775, 0.000]], "final_energy_ev_per_atom": -3.41, "spacegroup": "I4/mmm, No. 139", "total_magnetization_mub_per_atom": 0.20}

No. 3
{"formula": "SiSnAs2", "functional": "GGA-PBE", "state": "relaxed", "lattice_angstrom": [[-3.445, 3.445, 4.156], [3.445, -3.445, 4.156], [3.445, 3.445, -4.156]], "species": ["Si", "Si", "Sn", "Sn", "As", "As", "As", "As"], "frac_coords": [[0.000, 0.000, 0.000], [0.750, 0.250, 0.500], [0.250, 0.750, 0.500], [0.500, 0.500, 0.000], [0.060, 0.125, 0.435], [0.375, 0.940, 0.065], [0.690, 0.625, 0.565], [0.875, 0.310, 0.935]], "final_energy_ev_per_atom": -4.59, "spacegroup": "I-42d, No. 122", "total_magnetization_mub_per_atom": 0.00}